Entry 1:
Si3Hg | the Alexandria database | PBE | relaxed; SG = Pm-3m (221); crystal system = cubic; formation energy from raw total energies = 731 meV/atom
1.0
4.174 0.000 0.000
0.000 4.174 0.000
0.000 0.000 4.174
Si Hg
3 1
Direct
0.000 0.000 0.500
0.000 0.500 0.000
0.500 0.000 0.000
0.500 0.500 0.500

---

Entry 2:
MgIn3Ag12 | the Alexandria database | PBE | relaxed; SG = P4/mmm (123); crystal system = tetragonal; formation energy = -0.88 eV per formula unit
1.0
4.202 0.000 0.000
0.000 4.202 0.000
0.000 0.000 16.933
Mg In Ag
1 3 12
Direct
0.000 0.000 0.000
0.000 0.000 0.247
0.000 0.000 0.500
0.000 0.000 0.753
0.000 0.500 0.121
0.000 0.500 0.374
0.000 0.500 0.626
0.000 0.500 0.879
0.500 0.000 0.121
0.500 0.000 0.374
0.500 0.000 0.626
0.500 0.000 0.879
0.500 0.500 0.000
0.500 0.500 0.248
0.500 0.500 0.500
0.500 0.500 0.752

---

Entry 3:
LaLuSn2 | the Alexandria database | PBE | relaxed; SG = R-3m (166); crystal system = trigonal; formation energy = -1.96 eV per formula unit
1.0
1.904 1.099 9.475
-1.904 1.099 9.475
0.000 -2.199 9.475
La Lu Sn
1 1 2
Direct
0.000 0.000 0.000
0.500 0.500 0.500
0.245 0.245 0.245
0.755 0.755 0.755

---

Entry 4:
Co3PtBr | the Alexandria database | PBE | relaxed; SG = Pm-3m (221); crystal system = cubic; formation energy from raw total energies = 1148 meV/atom
1.0
4.722 0.000 0.000
0.000 4.722 0.000
0.000 0.000 4.722
Co Pt Br
3 1 1
Direct
0.000 0.000 0.500
0.000 0.500 0.000
0.500 0.000 0.000
0.000 0.000 0.000
0.500 0.500 0.500

---

Entry 5:
SiOsS2N | the Alexandria database | PBE | relaxed; SG = P4/mmm (123); crystal system = tetragonal; formation energy from raw total energies = 608 meV/atom
1.0
4.818 0.000 0.000
0.000 4.818 0.000
0.000 0.000 3.677
Si Os S N
1 1 2 1
Direct
0.000 0.000 0.000
0.500 0.500 0.500
0.000 0.500 0.500
0.500 0.000 0.500
0.500 0.500 0.000

---

Entry 6:
LiSb6Ir | the Alexandria database | PBE | relaxed; SG = C2/m (12); crystal system = monoclinic; formation energy from raw total energies = -147 meV/atom
1.0
6.678 -4.647 0.000
6.678 4.647 0.000
-6.601 0.000 7.085
Li Sb Ir
2 12 2
Direct
0.000 0.500 0.000
0.500 0.000 0.000
0.015 0.686 0.351
0.141 0.829 0.833
0.171 0.859 0.167
0.314 0.985 0.649
0.348 0.348 0.219
0.355 0.355 0.525
0.645 0.645 0.475
0.652 0.652 0.781
0.686 0.015 0.351
0.829 0.141 0.833
0.859 0.171 0.167
0.985 0.314 0.649
0.000 0.500 0.500
0.500 0.000 0.500

---

Entry 7:
U2Tl5I12 | the Alexandria database | PBE | relaxed; SG = C2/m (12); crystal system = monoclinic; formation energy from raw total energies = -705 meV/atom
1.0
9.730 -4.519 0.000
9.730 4.519 0.000
-3.747 0.000 10.689
U Tl I
2 5 12
Direct
0.247 0.753 0.000
0.753 0.247 0.000
0.180 0.180 0.779
0.217 0.217 0.378
0.500 0.500 0.500
0.783 0.783 0.622
0.820 0.820 0.221
0.009 0.009 0.199
0.079 0.597 0.928
0.103 0.611 0.448
0.389 0.897 0.552
0.403 0.921 0.072
0.489 0.489 0.808
0.511 0.511 0.192
0.597 0.079 0.928
0.611 0.103 0.448
0.897 0.389 0.552
0.921 0.403 0.072
0.991 0.991 0.801

---

Entry 8:
LiYHgRh | the Alexandria database | PBE | relaxed; SG = F-43m (216); crystal system = cubic; formation energy = -1.73 eV per formula unit
1.0
0.000 3.367 3.367
3.367 0.000 3.367
3.367 3.367 0.000
Li Y Hg Rh
1 1 1 1
Direct
0.000 0.000 0.000
0.750 0.750 0.750
0.250 0.250 0.250
0.500 0.500 0.500

---

Entry 9:
ScPaGeC | the Alexandria database | PBE | relaxed; SG = P4/nmm (129); crystal system = tetragonal; formation energy = -1.74 eV per formula unit
1.0
4.300 0.000 0.000
0.000 4.300 0.000
0.000 0.000 8.569
Sc Pa Ge C
2 2 2 2
Direct
0.250 0.750 0.000
0.750 0.250 0.000
0.250 0.250 0.337
0.750 0.750 0.663
0.250 0.250 0.692
0.750 0.750 0.308
0.250 0.250 0.090
0.750 0.750 0.910

---

Entry 10:
DyZrC | the Alexandria database | PBE | relaxed; SG = P2_1/c (14); crystal system = monoclinic; formation energy = -0.95 eV per formula unit
1.0
6.686 0.000 0.000
0.000 5.781 0.000
-2.976 0.000 5.949
Dy Zr C
4 4 4
Direct
0.127 0.174 0.387
0.127 0.326 0.887
0.873 0.674 0.113
0.873 0.826 0.613
0.394 0.665 0.622
0.394 0.835 0.122
0.606 0.165 0.878
0.606 0.335 0.378
0.265 0.532 0.259
0.265 0.968 0.759
0.735 0.032 0.241
0.735 0.468 0.741

---

Entry 11:
Th2Ag3Sn | the Alexandria database | PBE | relaxed; SG = Fmmm (69); crystal system = orthorhombic; formation energy = -1.66 eV per formula unit
1.0
0.000 4.920 8.504
3.487 0.000 8.504
3.487 4.920 0.000
Th Ag Sn
4 6 2
Direct
0.238 0.762 0.762
0.250 0.250 0.250
0.750 0.750 0.750
0.762 0.238 0.238
0.165 0.165 0.835
0.167 0.668 0.332
0.332 0.833 0.167
0.668 0.167 0.833
0.833 0.332 0.668
0.835 0.835 0.165
0.335 0.335 0.665
0.665 0.665 0.335

---

Entry 12:
Nb2RuC | the Alexandria database | PBE | relaxed; SG = I-42d (122); crystal system = tetragonal; formation energy = 0.35 eV per formula unit
1.0
-3.801 3.801 2.125
3.801 -3.801 2.125
3.801 3.801 -2.125
Nb Ru C
4 2 2
Direct
0.375 0.244 0.369
0.756 0.125 0.131
0.875 0.006 0.631
0.994 0.625 0.869
0.250 0.750 0.500
0.500 0.500 0.000
0.000 0.000 0.000
0.750 0.250 0.500

---

Number 1: magnetization 0.00 μB/f.u.. Number 2: magnetization 0.00 μB/f.u.. Number 3: magnetization 0.00 μB/f.u.. Number 4: magnetization 6.74 μB/f.u.. Number 5: magnetization 0.00 μB/f.u.. Number 6: magnetization 0.00 μB/f.u.. Number 7: magnetization 5.00 μB/f.u.. Number 8: magnetization 0.00 μB/f.u.. Number 9: magnetization 0.00 μB/f.u.. Number 10: magnetization 0.00 μB/f.u.. Number 11: magnetization 0.00 μB/f.u.. Number 12: magnetization 0.00 μB/f.u..